1.
A plane-wave DFT calculation with PBE was carried out for crystalline CaErSi at its relaxed geometry.

```
CaErSi
1.0
-3.706 2.346 1.547
0.028 -2.529 3.903
4.603 5.110 3.278
Si Er Ca
2 2 2
Cartesian
1.229 0.084 2.817
1.535 4.935 3.186
0.462 2.464 4.364
2.301 2.555 1.639
-1.227 1.868 1.219
3.991 3.151 4.784
```

Properties
- DFT total energy (eV per atom) = -4.42
- formation energy (no corrections) (meV per atom) = -420
- crystal system = tetragonal
- V (Å³/f.u.) = 82.4
- density of states at the Fermi level (states/eV/atom) = 0.794

2.
A plane-wave DFT calculation with PBE was carried out for crystalline NdErIn2 at its relaxed geometry.

```
NdErIn2
1.0
-0.001 -3.710 0.401
2.765 -1.676 1.863
-4.159 -0.891 9.108
Er In Nd
1 2 1
Cartesian
0.000 0.000 0.000
-1.089 -4.701 8.597
-0.307 -1.577 2.774
-0.698 -3.139 5.686
```

Properties
- DFT total energy (eV per atom) = -4.01
- excess energy over the best structure of this formula in the dataset (kJ/mol of atoms) = 16.1
- crystal system = trigonal
- V (Å³/f.u.) = 118.4
- density of states at the Fermi level (states/eV/atom) = 0.590

3.
A plane-wave DFT calculation with PBE was carried out for crystalline Ac2SmDyY at its relaxed geometry.

```
Ac2SmDyY
1.0
6.752 0.000 0.000
0.000 8.806 1.603
0.000 -1.155 6.328
Dy Ac Y Sm
2 4 2 2
Cartesian
0.000 -0.577 3.164
0.000 0.000 0.000
4.778 1.744 5.221
1.974 5.907 2.711
1.974 2.321 2.057
4.778 5.330 5.875
1.205 3.537 5.548
5.547 4.114 2.384
3.941 -0.289 1.582
2.811 -0.866 4.746
```

Properties
- DFT total energy (eV per atom) = -4.53
- crystal system = orthorhombic
- V (Å³/f.u.) = 194.4
- density of states at the Fermi level (states/eV/atom) = 1.292